VASP calculation (GGA-PBE) on a relaxed BaFeAgS3 crystal.

Cell lengths 7.1538, 7.1538, 9.8365 Å; angles 90.00, 90.00, 148.50 degrees
Last column: magnetic moment on the atom in μB.
Fractional coordinates of all 12 atoms:
Fe (0.5000, 0.5000, 0.0000)  3.64
S (0.5768, 0.4232, 0.7500)  0.23
Ba (0.7466, 0.2534, 0.2500)  0.03
Ba (0.2534, 0.7466, 0.7500)  0.03
S (0.1238, 0.8762, 0.4647)  0.21
Ag (0.9666, 0.0334, 0.7500)  0.12
S (0.8762, 0.1238, 0.5353)  0.21
Fe (0.5000, 0.5000, 0.5000)  3.64
S (0.1238, 0.8762, 0.0353)  0.21
S (0.8762, 0.1238, 0.9647)  0.21
Ag (0.0334, 0.9666, 0.2500)  0.12
S (0.4232, 0.5768, 0.2500)  0.23

V = 263.0 Å³/cell
space-group type = Cmcm
E = -58.3 eV for the cell shown